[1]
{"formula": "Mg4Si3", "functional": "PBE-GGA", "state": "relaxed", "raw_formation_energy_ev_per_atom": 0.0264, "de_polymorph_mev_per_atom": 59, "lattice_angstrom": [[5.607, 0.000, 0.000], [-2.635, 7.094, 0.000], [-0.088, -3.678, 6.632]], "species": ["Mg", "Mg", "Mg", "Mg", "Mg", "Mg", "Mg", "Mg", "Si", "Si", "Si", "Si", "Si", "Si"], "frac_coords": [[0.000, 0.000, 0.000], [0.012, 0.553, 0.829], [0.137, 0.230, 0.470], [0.325, 0.781, 0.566], [0.419, 0.261, 0.853], [0.627, 0.216, 0.432], [0.658, 0.759, 0.204], [0.933, 0.417, 0.167], [0.192, 0.844, 0.231], [0.439, 0.415, 0.261], [0.475, 0.954, 0.004], [0.534, 0.610, 0.784], [0.798, 0.710, 0.562], [0.839, 0.114, 0.719]]}


[2]
{"formula": "Li4Pr3Sn4", "functional": "PBE-GGA", "state": "relaxed", "e_form_mev_per_atom": -655.1, "de_polymorph_mev_per_atom": 0, "lattice_angstrom": [[-2.362, 3.632, 7.790], [2.362, -3.632, 7.790], [2.362, 3.632, -7.790]], "species": ["Li", "Li", "Li", "Li", "Pr", "Pr", "Pr", "Sn", "Sn", "Sn", "Sn"], "frac_coords": [[0.017, 0.828, 0.189], [0.360, 0.172, 0.189], [0.640, 0.828, 0.811], [0.983, 0.172, 0.811], [0.000, 0.500, 0.500], [0.370, 0.370, 0.000], [0.630, 0.630, 0.000], [0.214, 0.714, 0.500], [0.302, 0.000, 0.302], [0.698, 0.000, 0.698], [0.786, 0.286, 0.500]]}


[3]
{"formula": "Tm2Pu3NbN6", "functional": "PBE-GGA", "state": "relaxed", "raw_formation_energy_ev_per_atom": -1.4128, "lattice_angstrom": [[2.936, -5.082, 0.000], [2.936, 5.082, 0.000], [-1.954, 0.000, 5.502]], "species": ["Tm", "Tm", "Pu", "Pu", "Pu", "Nb", "N", "N", "N", "N", "N", "N"], "frac_coords": [[0.167, 0.833, 0.000], [0.833, 0.167, 0.000], [0.000, 0.000, 0.500], [0.333, 0.667, 0.500], [0.667, 0.333, 0.500], [0.500, 0.500, 0.000], [0.101, 0.420, 0.760], [0.261, 0.261, 0.242], [0.420, 0.101, 0.760], [0.580, 0.899, 0.240], [0.739, 0.739, 0.758], [0.899, 0.580, 0.240]]}


[4]
{"formula": "AlZnTe2", "functional": "PBE-GGA", "state": "relaxed", "raw_formation_energy_ev_per_atom": 0.1527, "de_polymorph_mev_per_atom": 408, "lattice_angstrom": [[7.219, 0.000, 0.000], [0.000, 7.219, 0.000], [0.000, 0.000, 7.219]], "species": ["Al", "Al", "Al", "Al", "Zn", "Zn", "Zn", "Zn", "Te", "Te", "Te", "Te", "Te", "Te", "Te", "Te"], "frac_coords": [[0.000, 0.000, 0.000], [0.000, 0.500, 0.500], [0.500, 0.000, 0.500], [0.500, 0.500, 0.000], [0.000, 0.000, 0.500], [0.000, 0.500, 0.000], [0.500, 0.000, 0.000], [0.500, 0.500, 0.500], [0.250, 0.250, 0.250], [0.250, 0.250, 0.750], [0.250, 0.750, 0.250], [0.250, 0.750, 0.750], [0.750, 0.250, 0.250], [0.750, 0.250, 0.750], [0.750, 0.750, 0.250], [0.750, 0.750, 0.750]]}


[5]
{"formula": "WCN2", "functional": "PBE-GGA", "state": "relaxed", "raw_formation_energy_ev_per_atom": 0.3413, "lattice_angstrom": [[2.863, 0.000, 0.000], [-1.432, 2.479, 0.000], [0.000, 0.000, 16.338]], "species": ["W", "W", "W", "C", "C", "C", "N", "N", "N", "N", "N", "N"], "frac_coords": [[0.000, 0.000, 0.000], [0.333, 0.667, 0.667], [0.667, 0.333, 0.333], [0.000, 0.000, 0.500], [0.333, 0.667, 0.167], [0.667, 0.333, 0.833], [0.000, 0.000, 0.423], [0.000, 0.000, 0.577], [0.333, 0.667, 0.090], [0.333, 0.667, 0.244], [0.667, 0.333, 0.756], [0.667, 0.333, 0.910]]}


[6]
{"formula": "Th2I2N", "functional": "PBE-GGA", "state": "relaxed", "raw_formation_energy_ev_per_atom": -0.2499, "lattice_angstrom": [[4.149, 0.000, 0.000], [0.000, 4.149, 0.000], [0.000, 0.000, 14.779]], "species": ["Th", "Th", "I", "I", "N"], "frac_coords": [[0.000, 0.000, 0.140], [0.000, 0.000, 0.860], [0.000, 0.000, 0.341], [0.000, 0.000, 0.659], [0.000, 0.000, 0.000]]}


Question: Number 3 is which compound?
Answer: Tm2Pu3NbN6


Copy entry 1 word for word.
{"formula": "Mg4Si3", "functional": "PBE-GGA", "state": "relaxed", "raw_formation_energy_ev_per_atom": 0.0264, "de_polymorph_mev_per_atom": 59, "lattice_angstrom": [[5.607, 0.000, 0.000], [-2.635, 7.094, 0.000], [-0.088, -3.678, 6.632]], "species": ["Mg", "Mg", "Mg", "Mg", "Mg", "Mg", "Mg", "Mg", "Si", "Si", "Si", "Si", "Si", "Si"], "frac_coords": [[0.000, 0.000, 0.000], [0.012, 0.553, 0.829], [0.137, 0.230, 0.470], [0.325, 0.781, 0.566], [0.419, 0.261, 0.853], [0.627, 0.216, 0.432], [0.658, 0.759, 0.204], [0.933, 0.417, 0.167], [0.192, 0.844, 0.231], [0.439, 0.415, 0.261], [0.475, 0.954, 0.004], [0.534, 0.610, 0.784], [0.798, 0.710, 0.562], [0.839, 0.114, 0.719]]}